A relaxed structure of Er2Ga4Tc3. Source: Alexandria, functional PBE-GGA.

The formation energy from the elements comes out at -0.3847 eV/atom. For the total energy, the calculation gives -6.199 eV per atom.

The space group is Fmmm (No. 69) and the conventional cell measures 5.300, 9.370 and 13.110 Å, with angles of 90.00, 90.00 and 90.00 degrees. Symmetry generates all atoms from Er at (0.000, 0.000, 0.126), Ga at (0.000, 0.167, 0.331), Tc at (0.000, 0.000, 0.500) and Tc at (0.250, 0.250, 0.000).